No. 1
Below is an optimized crystal structure of Ti7Nb5In, with properties calculated at the PBE level.

Cell: 7.2189 7.2189 7.2189 Å, 135.40 97.09 99.47°
Sites, in units of the cell vectors:
1 Ti 0.0000 0.0000 0.0000
2 Ti 0.0075 0.3549 0.6526
3 Ti 0.1445 0.6445 0.5000
4 Ti 0.1548 0.8529 0.3020
5 Ti 0.3349 0.3349 0.0000
6 Ti 0.5509 0.8529 0.6980
7 Ti 0.7023 0.3549 0.3474
8 Nb 0.3402 0.3446 0.4869
9 Nb 0.3402 0.8533 0.9956
10 Nb 0.5518 0.0518 0.5000
11 Nb 0.8577 0.3446 0.0044
12 Nb 0.8577 0.8533 0.5131
13 In 0.6948 0.6948 0.0000

raw total energy: -8.133 eV per atom
size of the total moment: 0.0 μB/f.u.
energy of formation from the pure elements: 202 meV per atom
V: 18.8 Å³ per atom
space group: Imm2 (44)

No. 2
Below is an optimized crystal structure of CdNiCl2, with properties calculated at the PBE level.

Cell: 4.6776 4.6776 3.4736 Å, 90.00 90.00 90.00°
Sites, in units of the cell vectors:
1 Cd 0.0000 0.0000 0.0000
2 Ni 0.5000 0.5000 0.0000
3 Cl 0.0000 0.5000 0.5000
4 Cl 0.5000 0.0000 0.5000

raw total energy: -2.456 eV per atom
size of the total moment: 0.6 μB/f.u.
formation energy from raw total energies: 0.14 eV/atom
V: 19.0 Å³ per atom
space group: P4/mmm (123)
energy above the lowest structure with this stoichiometry: 51.6 kJ per mole of atoms